A plane-wave DFT calculation with GGA-PBE was carried out for a relaxed CaAl2SiNi2 crystal.

Formation energy from raw total energies (kJ per mole of atoms): -33

abc: 4.292 4.292 5.651
angles: 90.00 90.00 90.00
Fractional coordinates of all 6 atoms:
Ca 0.000 0.000 0.500
Al 0.500 0.500 0.748
Al 0.500 0.500 0.252
Si 0.000 0.000 0.000
Ni 0.500 0.000 0.000
Ni 0.000 0.500 0.000